[1]
KAgTeIrSe2: optimized geometry, PBE.

abc: 8.1473 8.1473 10.4407
angles: 90.00 90.00 152.74
Last column: nearest neighbours and their distance in Å.
Fractional positions:
K (0.2401, 0.7599, 0.7500)  2 Ag 3.36, 2 Te 3.62, 6 Se 3.68-3.76
K (0.7599, 0.2401, 0.2500)  2 Ag 3.36, 2 Te 3.62, 6 Se 3.68-3.76
Ag (0.4343, 0.5657, 0.2500)  2 Se 2.54, 2 Te 2.84
Ag (0.5657, 0.4343, 0.7500)  2 Se 2.54, 2 Te 2.84
Te (0.0663, 0.9337, 0.2500)  2 Ir 2.81, 2 Ag 2.84
Te (0.9337, 0.0663, 0.7500)  2 Ir 2.81, 2 Ag 2.84
Ir (0.0000, 0.0000, 0.0000)  4 Se 2.57, 2 Te 2.81
Ir (0.0000, 0.0000, 0.5000)  4 Se 2.57, 2 Te 2.81
Se (0.3928, 0.6072, 0.0155)  1 Ag 2.54, 2 Ir 2.57
Se (0.3928, 0.6072, 0.4845)  1 Ag 2.54, 2 Ir 2.57
Se (0.6072, 0.3928, 0.5155)  1 Ag 2.54, 2 Ir 2.57
Se (0.6072, 0.3928, 0.9845)  1 Ag 2.54, 2 Ir 2.57



[2]
CdCuMoIr: optimized geometry, PBE.

Summary:
- energy of formation from the pure elements (eV per formula unit) = 0.82
- energy relative to the lowest polymorph listed for this composition (meV/atom) = 0

abc: 4.4493 4.4493 4.4493
angles: 60.00 60.00 60.00
Last column: nearest neighbours and their distance in Å.
Fractional positions:
Cd (0.0000, 0.0000, 0.0000)  4 Ir 2.72, 4 Cu 2.72
Cu (0.7500, 0.7500, 0.7500)  4 Cd 2.72, 4 Mo 2.72
Mo (0.5000, 0.5000, 0.5000)  4 Cu 2.72, 4 Ir 2.72
Ir (0.2500, 0.2500, 0.2500)  4 Cd 2.72, 4 Mo 2.72



Going through the records in order, we get E_tot values of -49.5, -23.5 eV/cell.
Going through the records in order, we get total magnetic moment values of 0.01, 0.00 Bohr magnetons per cell.